[1]
# Zn2IrRu

A PBEsol-optimized structure of Zn2IrRu (SCAN, Alexandria via LeMat-Bulk).

The structure in POSCAR format:
```
Zn2IrRu
1.0
1.350 0.780 8.687
-1.350 0.780 8.687
0.000 -1.559 8.687
Zn Ir Ru
2 1 1
Direct
0.000 0.000 0.000
0.247 0.247 0.247
0.751 0.751 0.751
0.498 0.498 0.498
```

Properties
Total energy (eV per atom): -33.264
Distance to the lowest polymorph of the same formula (meV per atom): 0.0
Symmetry: R3m (160)
Energy of formation from the pure elements (eV/atom): -0.03
DOS at the Fermi energy (states/eV/atom): 0.57

***

[2]
# ZrZnHI2

A PBEsol-optimized structure of ZrZnHI2 (SCAN, Alexandria via LeMat-Bulk).

The structure in POSCAR format:
```
ZrZnHI2
1.0
5.351 0.000 0.000
0.000 5.351 0.000
0.000 0.000 5.192
Zr Zn H I
1 1 1 2
Direct
0.000 0.000 0.000
0.000 0.000 0.500
0.500 0.500 0.000
0.000 0.500 0.500
0.500 0.000 0.500
```

Properties
Total energy (eV per atom): -23.357
Symmetry: P4/mmm (123)
DOS at the Fermi energy (states/eV/atom): 0.38

***

[3]
# Mg2Ag3

A PBEsol-optimized structure of Mg2Ag3 (SCAN, Alexandria via LeMat-Bulk).

The structure in POSCAR format:
```
Mg2Ag3
1.0
4.554 -2.015 0.000
4.554 2.015 0.000
-4.419 0.000 4.738
Mg Ag
2 3
Direct
0.086 0.086 0.294
0.914 0.914 0.706
0.301 0.301 0.895
0.500 0.500 0.500
0.699 0.699 0.105
```

Properties
Total energy (eV per atom): -21.017
Distance to the lowest polymorph of the same formula (meV per atom): 12.2
Symmetry: C2/m (12)
Energy of formation from the pure elements (eV/atom): -0.21
DOS at the Fermi energy (states/eV/atom): 0.28

***

[4]
# Tl3Fe

A PBEsol-optimized structure of Tl3Fe (SCAN, Alexandria via LeMat-Bulk).

The structure in POSCAR format:
```
Tl3Fe
1.0
4.507 0.000 0.000
0.000 4.507 0.000
0.000 0.000 4.507
Tl Fe
3 1
Direct
0.000 0.000 0.500
0.000 0.500 0.000
0.500 0.000 0.000
0.500 0.500 0.500
```

Properties
Total energy (eV per atom): -58.239
Symmetry: Pm-3m (221)
Energy of formation from the pure elements (eV/atom): 0.56
DOS at the Fermi energy (states/eV/atom): 0.79

***

[5]
# Li4MgCd

A PBEsol-optimized structure of Li4MgCd (SCAN, Alexandria via LeMat-Bulk).

The structure in POSCAR format:
```
Li4MgCd
1.0
0.000 3.770 3.770
3.770 0.000 3.770
3.770 3.770 0.000
Li Mg Cd
4 1 1
Direct
0.124 0.124 0.124
0.124 0.124 0.627
0.124 0.627 0.124
0.627 0.124 0.124
0.500 0.500 0.500
0.750 0.750 0.750
```

Properties
Total energy (eV per atom): -7.571
Symmetry: F-43m (216)
Energy of formation from the pure elements (eV/atom): -0.08
DOS at the Fermi energy (states/eV/atom): 0.38

***

[6]
# TcW2F

A PBEsol-optimized structure of TcW2F (SCAN, Alexandria via LeMat-Bulk).

The structure in POSCAR format:
```
TcW2F
1.0
0.000 3.043 3.043
3.043 0.000 3.043
3.043 3.043 0.000
Tc W F
1 2 1
Direct
0.000 0.000 0.000
0.250 0.250 0.250
0.750 0.750 0.750
0.500 0.500 0.500
```

Properties
Total energy (eV per atom): -44.104
Formation energy (no corrections) (eV per atom): 0.390
Symmetry: Fm-3m (225)
DOS at the Fermi energy (states/eV/atom): 0.99

***

[7]
# LiTe2PI

A PBEsol-optimized structure of LiTe2PI (SCAN, Alexandria via LeMat-Bulk).

The structure in POSCAR format:
```
LiTe2PI
1.0
4.986 0.000 0.000
0.000 4.986 0.000
0.000 0.000 4.965
Li Te P I
1 2 1 1
Direct
0.000 0.000 0.000
0.000 0.500 0.000
0.500 0.000 0.000
0.500 0.500 0.500
0.000 0.000 0.500
```

Properties
Total energy (eV per atom): -24.141
Formation energy (no corrections) (eV per atom): 0.666
Symmetry: P4/mmm (123)
DOS at the Fermi energy (states/eV/atom): 0.89

***

[8]
# ZrAs2Os

A PBEsol-optimized structure of ZrAs2Os (SCAN, Alexandria via LeMat-Bulk).

The structure in POSCAR format:
```
ZrAs2Os
1.0
4.506 0.000 0.000
0.000 4.506 0.000
0.000 0.000 3.151
Zr As Os
1 2 1
Direct
0.000 0.000 0.000
0.000 0.500 0.500
0.500 0.000 0.500
0.500 0.500 0.000
```

Properties
Total energy (eV per atom): -36.073
Symmetry: P4/mmm (123)
Energy of formation from the pure elements (eV/atom): -0.33
DOS at the Fermi energy (states/eV/atom): 0.60